12
Lattice="2.989 0.000 0.000 -1.494 2.588 0.000 0.000 0.000 35.761" Properties=species:S:1:pos:R:3 comment="K2TcIr | the Alexandria database | PBE-GGA | optimized geometry" e_above_lowest_polymorph_mev_per_atom=480.6 space_group="R3m (160)" e_tot_ev_per_atom=-4.35 pbc="T T T"
K 0.000 0.000 0.000
K 0.000 0.000 7.798
K 0.000 1.726 23.841
K 0.000 1.726 31.639
K 1.494 0.863 11.920
K 1.494 0.863 19.718
Tc 0.000 0.000 26.828
Tc 0.000 1.726 14.908
Tc 1.494 0.863 2.987
Ir 0.000 0.000 16.874
Ir 0.000 1.726 4.953
Ir 1.494 0.863 28.794